Material: Ta2Re2Pt
Method: DFT, GGA-PBE
State: optimized geometry

Cell lengths 4.2192, 4.2192, 10.8483 Å; angles 90.00, 90.00, 90.00 degrees
Space group I4/mmm (No. 139)
Inequivalent atoms, fractional coordinates:
Ta  0.0000  0.5000  0.2500
Re  0.0000  0.0000  0.1119
Pt  0.0000  0.0000  0.5000

Results
- total magnetization (μB/cell) = 0.00
- E (eV per atom) = -10.289
- theoretical density (kg/m3) = 15983

***

Material: TaRePt
Method: DFT, GGA-PBE
State: optimized geometry

Cell lengths 2.7310, 4.0811, 8.6895 Å; angles 90.00, 90.00, 90.00 degrees
Space group Imm2 (No. 44)
Inequivalent atoms, fractional coordinates:
Ta  0.0000  0.0000  0.0000
Re  0.0000  0.0000  0.3362
Pt  0.0000  0.0000  0.6722

Results
- total magnetization (μB/cell) = 0.00
- E (eV per atom) = -10.310
- theoretical density (kg/m3) = 19280

***

Material: TaRePt2
Method: DFT, GGA-PBE
State: optimized geometry

Cell lengths 3.3532, 3.3532, 5.7280 Å; angles 90.00, 90.00, 90.00 degrees
Space group P4mm (No. 99)
Inequivalent atoms, fractional coordinates:
Ta  0.0000  0.0000  0.0000
Re  0.5000  0.5000  0.7305
Pt  0.0000  0.0000  0.5016
Pt  0.5000  0.5000  0.2439

Results
- total magnetization (μB/cell) = 0.00
- E (eV per atom) = -9.386
- theoretical density (kg/m3) = 19526